No. 1
! HfCo2HIr (GGA-PBE, relaxed); values from VASP
! E ... -38.21 eV for the cell shown
! Polymorph energy (0 for the lowest one) ... 29.8 meV/atom
! Space-group type ... No. 123
&SYSTEM
  ibrav = 0, nat = 5, ntyp = 4
/
ATOMIC_SPECIES
Hf 178.49 Hf.upf
Co 58.93 Co.upf
H 1.01 H.upf
Ir 192.22 Ir.upf
ATOMIC_POSITIONS crystal
Hf 0.000 0.000 0.000
Co 0.000 0.500 0.500
Co 0.500 0.000 0.500
H 0.000 0.000 0.500
Ir 0.500 0.500 0.000
CELL_PARAMETERS angstrom
3.761 0.000 0.000
0.000 3.761 0.000
0.000 0.000 4.027

No. 2
! VInRh2 (GGA-PBE, relaxed); values from VASP
! E ... -28.07 eV for the cell shown
! Space-group type ... No. 123
&SYSTEM
  ibrav = 0, nat = 4, ntyp = 3
/
ATOMIC_SPECIES
V 50.94 V.upf
In 114.82 In.upf
Rh 102.91 Rh.upf
ATOMIC_POSITIONS crystal
V 0.000 0.000 0.000
In 0.000 0.000 0.500
Rh 0.500 0.500 0.223
Rh 0.500 0.500 0.777
CELL_PARAMETERS angstrom
2.920 0.000 0.000
0.000 2.920 0.000
0.000 0.000 7.244

No. 3
! LaCoNi2Ge (GGA-PBE, relaxed); values from VASP
! E ... -19.80 eV for the cell shown
! Space-group type ... No. 123
&SYSTEM
  ibrav = 0, nat = 5, ntyp = 4
/
ATOMIC_SPECIES
La 138.91 La.upf
Co 58.93 Co.upf
Ni 58.69 Ni.upf
Ge 72.64 Ge.upf
ATOMIC_POSITIONS crystal
La 0.000 0.000 0.000
Co 0.500 0.500 0.500
Ni 0.000 0.500 0.000
Ni 0.500 0.000 0.000
Ge 0.000 0.000 0.500
CELL_PARAMETERS angstrom
4.625 0.000 0.000
0.000 4.625 0.000
0.000 0.000 5.520